# MoH GGA-PBE relaxed
# Volume, A^3/atom: 9.49
# Energy above the lowest structure with this stoichiometry, meV/atom: 441
data_MoH
_cell_length_a 2.9056
_cell_length_b 2.9056
_cell_length_c 5.1932
_cell_angle_alpha 90.00
_cell_angle_beta 90.00
_cell_angle_gamma 120.00
_symmetry_space_group_name_H-M 'P 63/m m c'
_symmetry_Int_Tables_number 194
_symmetry_space_group_name_Hall '-P 6c 2c'
loop_
_atom_site_label
_atom_site_type_symbol
_atom_site_fract_x
_atom_site_fract_y
_atom_site_fract_z
Mo1 Mo 0.0000 0.0000 0.0000
H1 H 0.3333 0.6667 0.2500



# MoH GGA-PBE relaxed
# Volume, A^3/atom: 9.08
# Energy above the lowest structure with this stoichiometry, meV/atom: 80
data_MoH
_cell_length_a 2.935
_cell_length_b 8.873
_cell_length_c 4.184
_cell_angle_alpha 90.00
_cell_angle_beta 90.00
_cell_angle_gamma 90.00
_symmetry_space_group_name_H-M 'I m m 2'
_symmetry_Int_Tables_number 44
_symmetry_space_group_name_Hall 'I 2 -2'
loop_
_atom_site_label
_atom_site_type_symbol
_atom_site_fract_x
_atom_site_fract_y
_atom_site_fract_z
Mo1 Mo 0.000 0.000 0.000
Mo2 Mo 0.000 0.330 0.038
H1 H 0.000 0.322 0.514
H2 H 0.000 0.500 0.788



# MoH5 GGA-PBE relaxed
# Volume, A^3/atom: 6.44
data_MoH5
_cell_length_a 2.855
_cell_length_b 9.434
_cell_length_c 2.871
_cell_angle_alpha 90.00
_cell_angle_beta 90.00
_cell_angle_gamma 90.00
_symmetry_space_group_name_H-M 'C m m m'
_symmetry_Int_Tables_number 65
_symmetry_space_group_name_Hall '-C 2 2'
loop_
_atom_site_label
_atom_site_type_symbol
_atom_site_fract_x
_atom_site_fract_y
_atom_site_fract_z
Mo1 Mo 0.000 0.000 0.000
H1 H 0.000 0.131 0.500
H2 H 0.000 0.369 0.000
H3 H 0.000 0.500 0.500



# MoH GGA-PBE relaxed
# Volume, A^3/atom: 10.69
# Energy above the lowest structure with this stoichiometry, meV/atom: 626
data_MoH
_cell_length_a 5.550
_cell_length_b 5.550
_cell_length_c 5.550
_cell_angle_alpha 90.00
_cell_angle_beta 90.00
_cell_angle_gamma 90.00
_symmetry_space_group_name_H-M 'I -4 3 m'
_symmetry_Int_Tables_number 217
_symmetry_space_group_name_Hall 'I -4 2 3'
loop_
_atom_site_label
_atom_site_type_symbol
_atom_site_fract_x
_atom_site_fract_y
_atom_site_fract_z
Mo1 Mo 0.198 0.198 0.802
H1 H 0.123 0.123 0.123



# MoH GGA-PBE relaxed
# Volume, A^3/atom: 8.81
# Energy above the lowest structure with this stoichiometry, meV/atom: 0
data_MoH
_cell_length_a 4.130
_cell_length_b 4.130
_cell_length_c 4.130
_cell_angle_alpha 90.00
_cell_angle_beta 90.00
_cell_angle_gamma 90.00
_symmetry_space_group_name_H-M 'F m -3 m'
_symmetry_Int_Tables_number 225
_symmetry_space_group_name_Hall '-F 4 2 3'
loop_
_atom_site_label
_atom_site_type_symbol
_atom_site_fract_x
_atom_site_fract_y
_atom_site_fract_z
Mo1 Mo 0.000 0.000 0.000
H1 H 0.000 0.000 0.500



# MoH GGA-PBE relaxed
# Volume, A^3/atom: 9.54
# Energy above the lowest structure with this stoichiometry, meV/atom: 105
data_MoH
_cell_length_a 4.241
_cell_length_b 4.241
_cell_length_c 4.241
_cell_angle_alpha 90.00
_cell_angle_beta 90.00
_cell_angle_gamma 90.00
_symmetry_space_group_name_H-M 'F -4 3 m'
_symmetry_Int_Tables_number 216
_symmetry_space_group_name_Hall 'F -4 2 3'
loop_
_atom_site_label
_atom_site_type_symbol
_atom_site_fract_x
_atom_site_fract_y
_atom_site_fract_z
Mo1 Mo 0.000 0.000 0.000
H1 H 0.250 0.250 0.250



# Mo8H GGA-PBE relaxed
# Volume, A^3/atom: 14.55
data_Mo8H
_cell_length_a 5.5770
_cell_length_b 5.5770
_cell_length_c 4.8624
_cell_angle_alpha 90.00
_cell_angle_beta 90.00
_cell_angle_gamma 120.00
_symmetry_space_group_name_H-M 'P -3 m 1'
_symmetry_Int_Tables_number 164
_symmetry_space_group_name_Hall '-P 3 2"'
loop_
_atom_site_label
_atom_site_type_symbol
_atom_site_fract_x
_atom_site_fract_y
_atom_site_fract_z
Mo1 Mo 0.1685 0.3371 0.2397
Mo2 Mo 0.3333 0.6667 0.7278
H1 H 0.0000 0.0000 0.5000



# Mo3H GGA-PBE relaxed
# Volume, A^3/atom: 13.82
# Energy above the lowest structure with this stoichiometry, meV/atom: 513
data_Mo3H
_cell_length_a 3.548
_cell_length_b 3.548
_cell_length_c 8.781
_cell_angle_alpha 90.00
_cell_angle_beta 90.00
_cell_angle_gamma 90.00
_symmetry_space_group_name_H-M 'I 4/m m m'
_symmetry_Int_Tables_number 139
_symmetry_space_group_name_Hall '-I 4 2'
loop_
_atom_site_label
_atom_site_type_symbol
_atom_site_fract_x
_atom_site_fract_y
_atom_site_fract_z
Mo1 Mo 0.000 0.000 0.000
Mo2 Mo 0.000 0.500 0.250
H1 H 0.000 0.000 0.500



# MoH GGA-PBE relaxed
# Volume, A^3/atom: 9.57
# Energy above the lowest structure with this stoichiometry, meV/atom: 192
data_MoH
_cell_length_a 4.870
_cell_length_b 4.870
_cell_length_c 3.226
_cell_angle_alpha 90.00
_cell_angle_beta 90.00
_cell_angle_gamma 90.00
_symmetry_space_group_name_H-M 'P 42/m n m'
_symmetry_Int_Tables_number 136
_symmetry_space_group_name_Hall '-P 4n 2n'
loop_
_atom_site_label
_atom_site_type_symbol
_atom_site_fract_x
_atom_site_fract_y
_atom_site_fract_z
Mo1 Mo 0.212 0.212 0.000
H1 H 0.163 0.837 0.000



# Mo2H GGA-PBE relaxed
# Volume, A^3/atom: 12.51
data_Mo2H
_cell_length_a 4.402
_cell_length_b 4.396
_cell_length_c 4.452
_cell_angle_alpha 90.00
_cell_angle_beta 119.40
_cell_angle_gamma 90.00
_symmetry_space_group_name_H-M 'C 1 2/m 1'
_symmetry_Int_Tables_number 12
_symmetry_space_group_name_Hall '-C 2y'
loop_
_atom_site_label
_atom_site_type_symbol
_atom_site_fract_x
_atom_site_fract_y
_atom_site_fract_z
Mo1 Mo 0.160 0.000 0.320
H1 H 0.000 0.500 0.000



# MoH GGA-PBE relaxed
# Volume, A^3/atom: 9.55
# Energy above the lowest structure with this stoichiometry, meV/atom: 141
data_MoH
_cell_length_a 2.9935
_cell_length_b 2.9935
_cell_length_c 4.9203
_cell_angle_alpha 90.00
_cell_angle_beta 90.00
_cell_angle_gamma 120.00
_symmetry_space_group_name_H-M 'P 63 m c'
_symmetry_Int_Tables_number 186
_symmetry_space_group_name_Hall 'P 6c -2c'
loop_
_atom_site_label
_atom_site_type_symbol
_atom_site_fract_x
_atom_site_fract_y
_atom_site_fract_z
Mo1 Mo 0.3333 0.6667 0.0000
H1 H 0.3333 0.6667 0.6313



# Mo3H GGA-PBE relaxed
# Volume, A^3/atom: 13.97
# Energy above the lowest structure with this stoichiometry, meV/atom: 512
data_Mo3H
_cell_length_a 6.069
_cell_length_b 6.069
_cell_length_c 6.069
_cell_angle_alpha 90.00
_cell_angle_beta 90.00
_cell_angle_gamma 90.00
_symmetry_space_group_name_H-M 'F m -3 m'
_symmetry_Int_Tables_number 225
_symmetry_space_group_name_Hall '-F 4 2 3'
loop_
_atom_site_label
_atom_site_type_symbol
_atom_site_fract_x
_atom_site_fract_y
_atom_site_fract_z
Mo1 Mo 0.000 0.000 0.000
Mo2 Mo 0.250 0.250 0.250
H1 H 0.000 0.000 0.500



# Mo5H GGA-PBE relaxed
# Volume, A^3/atom: 14.13
data_Mo5H
_cell_length_a 4.883
_cell_length_b 11.459
_cell_length_c 3.030
_cell_angle_alpha 90.00
_cell_angle_beta 90.00
_cell_angle_gamma 90.00
_symmetry_space_group_name_H-M 'C m m m'
_symmetry_Int_Tables_number 65
_symmetry_space_group_name_Hall '-C 2 2'
loop_
_atom_site_label
_atom_site_type_symbol
_atom_site_fract_x
_atom_site_fract_y
_atom_site_fract_z
Mo1 Mo 0.000 0.000 0.000
Mo2 Mo 0.000 0.189 0.500
Mo3 Mo 0.000 0.384 0.000
H1 H 0.000 0.500 0.500



# MoH GGA-PBE relaxed
# Volume, A^3/atom: 10.62
# Energy above the lowest structure with this stoichiometry, meV/atom: 325
data_MoH
_cell_length_a 6.8945
_cell_length_b 6.8945
_cell_length_c 3.0964
_cell_angle_alpha 90.00
_cell_angle_beta 90.00
_cell_angle_gamma 120.00
_symmetry_space_group_name_H-M 'P 63/m'
_symmetry_Int_Tables_number 176
_symmetry_space_group_name_Hall '-P 6c'
loop_
_atom_site_label
_atom_site_type_symbol
_atom_site_fract_x
_atom_site_fract_y
_atom_site_fract_z
Mo1 Mo 0.0304 0.6987 0.2500
H1 H 0.1267 0.4864 0.2500



# Mo3H GGA-PBE relaxed
# Volume, A^3/atom: 13.07
# Energy above the lowest structure with this stoichiometry, meV/atom: 148
data_Mo3H
_cell_length_a 2.613
_cell_length_b 2.636
_cell_length_c 7.591
_cell_angle_alpha 90.00
_cell_angle_beta 90.00
_cell_angle_gamma 90.00
_symmetry_space_group_name_H-M 'P m m 2'
_symmetry_Int_Tables_number 25
_symmetry_space_group_name_Hall 'P 2 -2'
loop_
_atom_site_label
_atom_site_type_symbol
_atom_site_fract_x
_atom_site_fract_y
_atom_site_fract_z
Mo1 Mo 0.000 0.000 0.000
Mo2 Mo 0.000 0.500 0.332
Mo3 Mo 0.500 0.500 0.688
H1 H 0.500 0.000 0.483



# Mo2HN GGA-PBE relaxed
# Volume, A^3/atom: 11.53
# Energy above the lowest structure with this stoichiometry, meV/atom: 137
data_Mo2HN
_cell_length_a 3.0107
_cell_length_b 3.0107
_cell_length_c 17.6191
_cell_angle_alpha 90.00
_cell_angle_beta 90.00
_cell_angle_gamma 120.00
_symmetry_space_group_name_H-M 'R -3 m'
_symmetry_Int_Tables_number 166
_symmetry_space_group_name_Hall '-R 3 2"'
loop_
_atom_site_label
_atom_site_type_symbol
_atom_site_fract_x
_atom_site_fract_y
_atom_site_fract_z
Mo1 Mo 0.0000 0.0000 0.0996
H1 H 0.0000 0.0000 0.0000
N1 N 0.0000 0.0000 0.5000



# Mo2HN GGA-PBE relaxed
# Volume, A^3/atom: 11.12
# Energy above the lowest structure with this stoichiometry, meV/atom: 0
data_Mo2HN
_cell_length_a 4.445
_cell_length_b 4.445
_cell_length_c 9.003
_cell_angle_alpha 90.00
_cell_angle_beta 90.00
_cell_angle_gamma 90.00
_symmetry_space_group_name_H-M 'I -4 2 d'
_symmetry_Int_Tables_number 122
_symmetry_space_group_name_Hall 'I -4 2bw'
loop_
_atom_site_label
_atom_site_type_symbol
_atom_site_fract_x
_atom_site_fract_y
_atom_site_fract_z
Mo1 Mo 0.230 0.250 0.125
H1 H 0.000 0.000 0.000
N1 N 0.000 0.000 0.500



# Mo2HN GGA-PBE relaxed
# Volume, A^3/atom: 9.82
# Energy above the lowest structure with this stoichiometry, meV/atom: 610
data_Mo2HN
_cell_length_a 5.396
_cell_length_b 5.396
_cell_length_c 5.396
_cell_angle_alpha 90.00
_cell_angle_beta 90.00
_cell_angle_gamma 90.00
_symmetry_space_group_name_H-M 'F m -3 m'
_symmetry_Int_Tables_number 225
_symmetry_space_group_name_Hall '-F 4 2 3'
loop_
_atom_site_label
_atom_site_type_symbol
_atom_site_fract_x
_atom_site_fract_y
_atom_site_fract_z
Mo1 Mo 0.250 0.250 0.250
H1 H 0.000 0.000 0.000
N1 N 0.000 0.000 0.500



# Mo3HN GGA-PBE relaxed
# Volume, A^3/atom: 13.30
# Energy above the lowest structure with this stoichiometry, meV/atom: 0
data_Mo3HN
_cell_length_a 4.051
_cell_length_b 4.051
_cell_length_c 4.051
_cell_angle_alpha 90.00
_cell_angle_beta 90.00
_cell_angle_gamma 90.00
_symmetry_space_group_name_H-M 'P m -3 m'
_symmetry_Int_Tables_number 221
_symmetry_space_group_name_Hall '-P 4 2 3'
loop_
_atom_site_label
_atom_site_type_symbol
_atom_site_fract_x
_atom_site_fract_y
_atom_site_fract_z
Mo1 Mo 0.000 0.000 0.500
H1 H 0.500 0.500 0.500
N1 N 0.000 0.000 0.000



| no. | DFT total energy (hartree per atom) |
| --- | --- |
| 1 | -0.244 |
| 2 | -0.257 |
| 3 | -0.160 |
| 4 | -0.237 |
| 5 | -0.260 |
| 6 | -0.256 |
| 7 | -0.355 |
| 8 | -0.297 |
| 9 | -0.253 |
| 10 | -0.283 |
| 11 | -0.255 |
| 12 | -0.297 |
| 13 | -0.338 |
| 14 | -0.248 |
| 15 | -0.311 |
| 16 | -0.299 |
| 17 | -0.304 |
| 18 | -0.281 |
| 19 | -0.301 |